A plane-wave DFT calculation with PBE-GGA was carried out for BaTaAu after structural relaxation.

Structure (POSCAR):
```
BaTaAu
1.0
2.2377 -3.8934 0.0000
2.2377 3.8934 0.0000
0.0000 0.0000 10.7461
Ba Ta Au
2 2 2
direct
0.0000 0.0000 0.0000 Ba
0.0000 0.0000 0.5000 Ba
0.3337 0.6663 0.7500 Ta
0.6663 0.3337 0.2500 Ta
0.3337 0.6663 0.2500 Au
0.6663 0.3337 0.7500 Au
```

- energy of formation (eV per atom) = 0.384
- SG = Cmcm (63)
- energy above the most stable polymorph in this dataset (meV/atom) = 360
- theoretical density (g cm⁻³) = 9.14
- crystal system = orthorhombic
- V (A^3/atom) = 31.21

A plane-wave DFT calculation with PBE-GGA was carried out for BaTaAu after structural relaxation.

Structure (POSCAR):
```
BaTaAu
1.0
11.4549 -2.0950 0.0000
11.4549 2.0950 0.0000
-0.6552 0.0000 3.8295
Ba Ta Au
2 2 2
direct
0.0000 0.0000 0.0000 Ba
0.6744 0.6744 0.6763 Ba
0.3460 0.3460 0.8470 Ta
0.8274 0.8274 0.3285 Ta
0.2471 0.2471 0.2486 Au
0.4302 0.4302 0.4306 Au
```

- energy of formation (eV per atom) = 0.087
- SG = Cm (8)
- energy above the most stable polymorph in this dataset (meV/atom) = 64
- theoretical density (g cm⁻³) = 9.31
- crystal system = monoclinic
- V (A^3/atom) = 30.63

A plane-wave DFT calculation with PBE-GGA was carried out for BaTaAu after structural relaxation.

Structure (POSCAR):
```
BaTaAu
1.0
10.4618 0.0000 0.0000
0.0000 3.5308 0.0000
0.0000 0.0000 9.5869
Ba Ta Au
4 4 4
direct
0.1838 0.2500 0.0827 Ba
0.3162 0.7500 0.5827 Ba
0.6838 0.2500 0.4173 Ba
0.8162 0.7500 0.9173 Ba
0.0477 0.2500 0.4120 Ta
0.4523 0.7500 0.9120 Ta
0.5477 0.2500 0.0880 Ta
0.9523 0.7500 0.5880 Ta
0.0825 0.2500 0.7527 Au
0.4175 0.7500 0.2527 Au
0.5825 0.2500 0.7473 Au
0.9175 0.7500 0.2473 Au
```

- energy of formation (eV per atom) = 0.277
- SG = Pnma (62)
- energy above the most stable polymorph in this dataset (meV/atom) = 253
- theoretical density (g cm⁻³) = 9.66
- crystal system = orthorhombic
- V (A^3/atom) = 29.51

A plane-wave DFT calculation with PBE-GGA was carried out for BaTaAu after structural relaxation.

Structure (POSCAR):
```
BaTaAu
1.0
5.9663 -1.6565 0.0000
5.9663 1.6565 0.0000
-0.9699 0.0000 8.4598
Ba Ta Au
2 2 2
direct
0.0000 0.0000 0.0000 Ba
0.2154 0.2154 0.6751 Ba
0.2682 0.2682 0.2053 Ta
0.9108 0.9108 0.3824 Ta
0.4780 0.4780 0.6441 Au
0.6112 0.6112 0.3422 Au
```

- energy of formation (eV per atom) = 0.219
- SG = Cm (8)
- energy above the most stable polymorph in this dataset (meV/atom) = 195
- theoretical density (g cm⁻³) = 10.23
- crystal system = monoclinic
- V (A^3/atom) = 27.87

A plane-wave DFT calculation with PBE-GGA was carried out for BaTaAu after structural relaxation.

Structure (POSCAR):
```
BaTaAu
1.0
5.2072 0.0000 0.0000
-2.6036 4.5096 0.0000
0.0000 0.0000 6.2614
Ba Ta Au
2 2 2
direct
0.3333 0.6667 0.2500 Ba
0.6667 0.3333 0.7500 Ba
0.3333 0.6667 0.7500 Ta
0.6667 0.3333 0.2500 Ta
0.0000 0.0000 0.0000 Au
0.0000 0.0000 0.5000 Au
```

- energy of formation (eV per atom) = 1.264
- SG = P6_3/mmc (194)
- energy above the most stable polymorph in this dataset (meV/atom) = 1240
- theoretical density (g cm⁻³) = 11.64
- crystal system = hexagonal
- V (A^3/atom) = 24.51

A plane-wave DFT calculation with PBE-GGA was carried out for BaTaAu after structural relaxation.

Structure (POSCAR):
```
BaTaAu
1.0
4.2700 0.0000 0.0000
0.0000 4.2700 0.0000
0.0000 0.0000 8.2945
Ba Ta Au
2 2 2
direct
0.2500 0.7500 0.0000 Ba
0.7500 0.2500 0.0000 Ba
0.2500 0.2500 0.3798 Ta
0.7500 0.7500 0.6202 Ta
0.2500 0.2500 0.6828 Au
0.7500 0.7500 0.3172 Au
```

- energy of formation (eV per atom) = 0.880
- SG = P4/nmm (129)
- energy above the most stable polymorph in this dataset (meV/atom) = 856
- theoretical density (g cm⁻³) = 11.31
- crystal system = tetragonal
- V (A^3/atom) = 25.20

A plane-wave DFT calculation with PBE-GGA was carried out for BaTaAu after structural relaxation.

Structure (POSCAR):
```
BaTaAu
1.0
-1.6113 2.0745 6.1446
1.6113 -2.0745 6.1446
1.6113 2.0745 -6.1446
Ba Ta Au
1 1 1
direct
0.0000 0.0000 0.0000 Ba
0.7270 0.7270 0.0000 Ta
0.2948 0.2948 0.0000 Au
```

- energy of formation (eV per atom) = 0.413
- SG = Imm2 (44)
- energy above the most stable polymorph in this dataset (meV/atom) = 389
- theoretical density (g cm⁻³) = 10.41
- crystal system = orthorhombic
- V (A^3/atom) = 27.39

A plane-wave DFT calculation with PBE-GGA was carried out for BaTaAu after structural relaxation.

Structure (POSCAR):
```
BaTaAu
1.0
4.4929 0.0000 0.0000
2.2355 3.8977 0.0000
0.9722 0.4826 11.5151
Ba Ta Au
2 2 2
direct
0.2130 0.2035 0.1947 Ba
0.7870 0.7965 0.8053 Ba
0.1579 0.1597 0.5572 Ta
0.8421 0.8403 0.4428 Ta
0.4813 0.4853 0.6243 Au
0.5187 0.5147 0.3757 Au
```

- energy of formation (eV per atom) = 0.093
- SG = P-1 (2)
- energy above the most stable polymorph in this dataset (meV/atom) = 69
- theoretical density (g cm⁻³) = 8.49
- crystal system = triclinic
- V (A^3/atom) = 33.61